[1]
{"formula": "Ti5Ga4", "functional": "PBE", "state": "relaxed", "e_form_ev_per_atom": -0.442, "vol_a3_per_fu": 145.2, "rho_g_cm3": 5.928, "dft_energy_ev_per_atom": -6.173, "lattice": [[-6.6649, 3.5788, 2.1727], [1.0442, -2.1593, -7.4964], [-2.2329, -4.8107, 1.0747]], "species": ["Ti", "Ti", "Ti", "Ti", "Ti", "Ti", "Ti", "Ti", "Ti", "Ti", "Ga", "Ga", "Ga", "Ga", "Ga", "Ga", "Ga", "Ga"], "frac_coords": [[0.3333, 0.6667, 0.0000], [0.6667, 0.3333, 0.5000], [0.6667, 0.3333, 0.0000], [0.3333, 0.6667, 0.5000], [0.2871, 0.0000, 0.2500], [0.2871, 0.2871, 0.7500], [0.0000, 0.7129, 0.7500], [0.0000, 0.2871, 0.2500], [0.7129, 0.7129, 0.2500], [0.7129, 0.0000, 0.7500], [0.0000, 0.0000, 0.0000], [0.0000, 0.0000, 0.5000], [0.6231, 0.0000, 0.2500], [0.6231, 0.6231, 0.7500], [0.0000, 0.3769, 0.7500], [0.0000, 0.6231, 0.2500], [0.3769, 0.3769, 0.2500], [0.3769, 0.0000, 0.7500]]}

=====

[2]
{"formula": "TiTl3Ga", "functional": "PBE", "state": "relaxed", "e_form_ev_per_atom": 0.482, "vol_a3_per_fu": 161.5, "rho_g_cm3": 7.512, "dft_energy_ev_per_atom": -3.122, "lattice": [[-0.3411, 3.1579, 4.4239], [-4.4416, -2.7170, 1.5969], [3.1330, -3.5079, 2.7456]], "species": ["Tl", "Tl", "Tl", "Ga", "Ti"], "frac_coords": [[0.0000, 0.5000, 0.0000], [0.0000, 0.0000, 0.5000], [0.5000, 0.0000, 0.0000], [0.5000, 0.5000, 0.5000], [0.0000, 0.0000, 0.0000]]}

=====

[3]
{"formula": "Ti2Tl2Ga", "functional": "PBE", "state": "relaxed", "e_form_ev_per_atom": 0.054, "vol_a3_per_fu": 104.3, "rho_g_cm3": 9.142, "dft_energy_ev_per_atom": -4.656, "lattice": [[6.8406, 0.0000, 0.0000], [0.0000, 6.8406, 0.0000], [0.0000, 0.0000, 4.4579]], "species": ["Tl", "Tl", "Tl", "Tl", "Ga", "Ga", "Ti", "Ti", "Ti", "Ti"], "frac_coords": [[0.1636, 0.6636, 0.5000], [0.6636, 0.8364, 0.5000], [0.8364, 0.3364, 0.5000], [0.3364, 0.1636, 0.5000], [0.0000, 0.0000, 0.0000], [0.5000, 0.5000, 0.0000], [0.3532, 0.8532, 0.0000], [0.8532, 0.6468, 0.0000], [0.6468, 0.1468, 0.0000], [0.1468, 0.3532, 0.0000]]}

=====

[4]
{"formula": "TiTl2Ga", "functional": "PBE", "state": "relaxed", "e_form_ev_per_atom": 0.388, "vol_a3_per_fu": 92.9, "rho_g_cm3": 9.410, "dft_energy_ev_per_atom": -3.526, "lattice": [[0.0000, 3.5945, 3.5945], [3.5945, 0.0000, 3.5945], [3.5945, 3.5945, 0.0000]], "species": ["Tl", "Tl", "Ga", "Ti"], "frac_coords": [[0.2500, 0.2500, 0.2500], [0.7500, 0.7500, 0.7500], [0.5000, 0.5000, 0.5000], [0.0000, 0.0000, 0.0000]]}

=====

[5]
{"formula": "Ti8TlGa2", "functional": "PBE", "state": "relaxed", "e_form_ev_per_atom": -0.044, "vol_a3_per_fu": 196.7, "rho_g_cm3": 6.135, "dft_energy_ev_per_atom": -6.551, "lattice": [[-1.9970, 3.9765, 1.9940], [-2.7436, -0.0377, -6.6257], [-1.8735, -5.2091, 4.5588]], "species": ["Ti", "Ti", "Ti", "Ti", "Ti", "Ti", "Ti", "Ti", "Tl", "Ga", "Ga"], "frac_coords": [[0.8476, 0.9080, 0.6768], [0.8476, 0.6768, 0.9080], [0.2925, 0.5759, 0.5759], [0.5000, 0.7708, 0.2292], [0.5000, 0.2292, 0.7708], [0.7075, 0.4241, 0.4241], [0.1524, 0.3232, 0.0920], [0.1524, 0.0920, 0.3232], [0.5000, 0.0000, 0.0000], [0.0000, 0.3068, 0.6932], [0.0000, 0.6932, 0.3068]]}

=====

[6]
{"formula": "TiTl2Ga", "functional": "PBE", "state": "relaxed", "e_form_ev_per_atom": 0.363, "vol_a3_per_fu": 92.5, "rho_g_cm3": 9.454, "dft_energy_ev_per_atom": -3.551, "lattice": [[7.8616, 0.0000, 0.0000], [0.0000, 7.8616, 0.0000], [3.9308, 3.9308, 2.9919]], "species": ["Tl", "Tl", "Tl", "Tl", "Ga", "Ga", "Ti", "Ti"], "frac_coords": [[0.6323, 0.1250, 0.2500], [0.1177, 0.6250, 0.2500], [0.3750, 0.3677, 0.7500], [0.8750, 0.8823, 0.7500], [0.0000, 0.0000, 0.0000], [0.7500, 0.2500, 0.5000], [0.5000, 0.5000, 0.0000], [0.2500, 0.7500, 0.5000]]}

=====

[7]
{"formula": "Ti2TlGa", "functional": "PBE", "state": "relaxed", "e_form_ev_per_atom": 0.023, "vol_a3_per_fu": 72.6, "rho_g_cm3": 8.463, "dft_energy_ev_per_atom": -5.273, "lattice": [[4.3524, -1.4068, 0.9983], [0.7215, -4.2304, 1.8715], [2.0116, -3.3744, -2.5469]], "species": ["Tl", "Ga", "Ti", "Ti"], "frac_coords": [[0.5000, 0.5000, 0.5000], [0.0000, 0.0000, 0.0000], [0.2500, 0.2500, 0.2500], [0.7500, 0.7500, 0.7500]]}

=====

[8]
{"formula": "Ti2TlGa", "functional": "PBE", "state": "relaxed", "e_form_ev_per_atom": -0.166, "vol_a3_per_fu": 71.7, "rho_g_cm3": 8.562, "dft_energy_ev_per_atom": -5.462, "lattice": [[2.9539, 0.0000, 0.0000], [0.0000, 2.9539, 0.0000], [0.0000, 0.0000, 8.2204]], "species": ["Tl", "Ga", "Ti", "Ti"], "frac_coords": [[0.5000, 0.5000, 0.5000], [0.5000, 0.5000, 0.0000], [0.0000, 0.0000, 0.7777], [0.0000, 0.0000, 0.2223]]}